An optimized crystal structure of TbSm5Te8. Source: Alexandria via LeMat-Bulk, functional GGA-PBE.

Lattice parameters (Å, degrees): 8.2205 8.2205 8.2205 108.44 111.56 108.44
Last column: nearest neighbours and their distance in Å.
Sites, in units of the cell vectors:
1 Tb 0.2500 0.5000 0.7500  8 Te 3.19-3.35
2 Sm 0.0304 0.4068 0.1268  6 Te 3.12-3.23
3 Sm 0.8732 0.9036 0.2800  6 Te 3.12-3.23
4 Sm 0.7200 0.5932 0.6236  6 Te 3.12-3.23
5 Sm 0.5000 0.0000 0.5000  8 Te 3.23-3.37
6 Sm 0.3764 0.0964 0.9696  6 Te 3.12-3.23
7 Te 0.1289 0.7549 0.0157  4 Sm 3.13-3.37, 1 Tb 3.19
8 Te 0.9843 0.1132 0.7392  4 Sm 3.13-3.37, 1 Tb 3.19
9 Te 0.7697 0.2559 0.3762  4 Sm 3.12-3.23, 1 Tb 3.35
10 Te 0.6238 0.3935 0.8797  4 Sm 3.12-3.23, 1 Tb 3.35
11 Te 0.4862 0.6065 0.2303  4 Sm 3.12-3.23, 1 Tb 3.35
12 Te 0.6260 0.8868 0.8711  4 Sm 3.13-3.37, 1 Tb 3.19
13 Te 0.2608 0.2451 0.3740  4 Sm 3.13-3.37, 1 Tb 3.19
14 Te 0.1203 0.7441 0.5138  4 Sm 3.12-3.23, 1 Tb 3.35

Output
- symmetry = I-4
- crystal system = tetragonal
- size of the total moment (μB per cell) = 0.0
- ΔE_f (raw) (eV per atom) = -1.377
- total energy (eV for the cell shown) = -72.6